Here is a relaxed Na6AgHg2 crystal from the Alexandria database. Energies are from GGA-PBE.

Computed properties:
SG = No. 166
E_form = -0.125 eV per atom
Energy relative to the lowest polymorph listed for this composition = 0.0 meV per atom

Lattice parameters (Å, degrees): 5.356 5.356 10.826 75.68 75.68 60.00
Atoms (fractional coordinates):
Na 0.420 0.420 0.741
Na 0.580 0.580 0.259
Ag 0.000 0.000 0.000
Na 0.303 0.303 0.091
Hg 0.909 0.909 0.274
Hg 0.091 0.091 0.726
Na 0.697 0.697 0.909
Na 0.192 0.192 0.424
Na 0.808 0.808 0.576

=====

Here is a relaxed CaAlCu2S4 crystal from the Alexandria database. Energies are from GGA-PBE.

Computed properties:
SG = No. 121
Electronic total energy = -4.72 eV/atom

Lattice parameters (Å, degrees): 6.341 5.876 5.876 80.53 57.35 57.35
Atoms (fractional coordinates):
Cu 0.500 0.750 0.250
Al 0.000 0.500 0.500
S 0.587 0.536 0.877
S 0.413 0.123 0.464
Cu 0.500 0.250 0.750
Ca 0.000 0.000 0.000
S 0.000 0.464 0.123
S 0.000 0.877 0.536

=====

Here is a relaxed TiCoAgBi2 crystal from the Alexandria database. Energies are from GGA-PBE.

Computed properties:
SG = No. 123
E_form = 0.454 eV per atom

Lattice parameters (Å, degrees): 5.102 4.498 5.102 90.00 90.00 90.00
Atoms (fractional coordinates):
Co 0.000 0.000 0.000
Bi 0.500 0.000 0.000
Bi 0.000 0.000 0.500
Ag 0.500 0.500 0.500
Ti 0.000 0.500 0.000

=====

Here is a relaxed SmPa3Tl4O12 crystal from the Alexandria database. Energies are from GGA-PBE.

Computed properties:
SG = No. 229
Electronic total energy = -7.58 eV/atom

Lattice parameters (Å, degrees): 7.680 7.680 7.680 109.47 109.47 109.47
Atoms (fractional coordinates):
O 0.737 0.737 0.000
O 0.250 0.500 0.750
O 0.500 0.750 0.250
O 0.750 0.500 0.250
Pa 0.500 0.000 0.500
O 0.250 0.750 0.500
O 0.000 0.737 0.737
O 0.263 0.000 0.263
Tl 0.000 0.500 0.000
Tl 0.500 0.500 0.500
O 0.263 0.263 0.000
O 0.500 0.250 0.750
Tl 0.500 0.000 0.000
Tl 0.000 0.000 0.500
O 0.750 0.250 0.500
O 0.737 0.000 0.737
O 0.000 0.263 0.263
Pa 0.000 0.500 0.500
Pa 0.500 0.500 0.000
Sm 0.000 0.000 0.000

=====

Here is a relaxed Ac2EuP crystal from the Alexandria database. Energies are from GGA-PBE.

Computed properties:
SG = No. 123
E_form = -0.484 eV per atom
Energy relative to the lowest polymorph listed for this composition = 42.4 meV per atom

Lattice parameters (Å, degrees): 3.853 3.853 9.754 90.00 90.00 90.00
Atoms (fractional coordinates):
Eu 0.500 0.500 0.500
P 0.500 0.500 0.000
Ac 0.000 0.000 0.177
Ac 0.000 0.000 0.823

=====

Here is a relaxed AcTb3Nd8 crystal from the Alexandria database. Energies are from GGA-PBE.

Computed properties:
SG = No. 71
E_form = 0.330 eV per atom

Lattice parameters (Å, degrees): 8.931 8.931 8.931 97.53 136.40 98.33
Atoms (fractional coordinates):
Nd 0.173 0.918 0.745
Nd 0.173 0.428 0.255
Nd 0.494 0.724 0.770
Nd 0.046 0.276 0.770
Nd 0.954 0.724 0.230
Tb 0.500 0.721 0.221
Ac 0.000 0.000 0.000
Tb 0.000 0.500 0.500
Nd 0.827 0.082 0.255
Nd 0.506 0.276 0.230
Tb 0.500 0.279 0.779
Nd 0.827 0.572 0.745

=====

Here is a relaxed ZrZnRh crystal from the Alexandria database. Energies are from GGA-PBE.

Computed properties:
SG = No. 156
E_form = -0.518 eV per atom

Lattice parameters (Å, degrees): 4.413 4.413 3.017 90.00 90.00 120.00
Atoms (fractional coordinates):
Zr 0.333 0.667 0.676
Zn 0.667 0.333 0.177
Rh 0.000 0.000 0.147

=====

Here is a relaxed KCaAs2 crystal from the Alexandria database. Energies are from GGA-PBE.

Computed properties:
SG = No. 122
E_form = -0.371 eV per atom
Energy relative to the lowest polymorph listed for this composition = 357.8 meV per atom

Lattice parameters (Å, degrees): 5.283 5.283 10.407 75.30 75.30 90.00
Atoms (fractional coordinates):
As 0.758 0.125 0.250
K 0.250 0.750 0.500
As 0.992 0.625 0.250
As 0.375 0.242 0.750
As 0.875 0.008 0.750
Ca 0.750 0.250 0.500
Ca 0.000 0.000 0.000
K 0.500 0.500 0.000

=====

Here is a relaxed Th6FeIr2Se3 crystal from the Alexandria database. Energies are from GGA-PBE.

Computed properties:
SG = No. 12
Electronic total energy = -7.90 eV/atom

Lattice parameters (Å, degrees): 4.111 8.754 9.596 107.95 102.37 90.00
Atoms (fractional coordinates):
Th 0.327 0.432 0.653
Th 0.652 0.095 0.303
Se 0.168 0.835 0.336
Ir 0.834 0.666 0.667
Se 0.500 0.500 0.000
Fe 0.500 0.000 0.000
Th 0.348 0.905 0.697
Se 0.832 0.165 0.664
Th 0.673 0.568 0.347
Ir 0.166 0.334 0.333
Th 0.006 0.221 0.013
Th 0.994 0.779 0.987

=====

Here is a relaxed HfVCd crystal from the Alexandria database. Energies are from GGA-PBE.

Computed properties:
SG = No. 139
E_form = 0.053 eV per atom
Energy relative to the lowest polymorph listed for this composition = 50.2 meV per atom

Lattice parameters (Å, degrees): 3.062 3.062 12.965 96.78 96.78 90.00
Atoms (fractional coordinates):
Cd 0.443 0.443 0.885
V 0.276 0.276 0.551
Cd 0.557 0.557 0.115
Hf 0.847 0.847 0.695
V 0.724 0.724 0.449
Hf 0.153 0.153 0.305

=====

Here is a relaxed ZrGa3Co crystal from the Alexandria database. Energies are from GGA-PBE.

Computed properties:
SG = No. 14
E_form = -0.357 eV per atom
Energy relative to the lowest polymorph listed for this composition = 0.0 meV per atom

Lattice parameters (Å, degrees): 5.437 7.185 8.149 96.23 90.00 90.00
Atoms (fractional coordinates):
Ga 0.874 0.442 0.379
Zr 0.124 0.808 0.372
Co 0.948 0.801 0.054
Co 0.552 0.301 0.054
Co 0.448 0.699 0.946
Co 0.052 0.199 0.946
Ga 0.829 0.499 0.890
Zr 0.624 0.692 0.628
Ga 0.329 0.001 0.110
Ga 0.171 0.501 0.110
Ga 0.126 0.558 0.621
Ga 0.382 0.367 0.791
Ga 0.618 0.633 0.209
Ga 0.671 0.999 0.890
Ga 0.374 0.058 0.621
Zr 0.876 0.192 0.628
Ga 0.882 0.133 0.209
Ga 0.118 0.867 0.791
Zr 0.376 0.308 0.372
Ga 0.626 0.942 0.379

=====

Here is a relaxed CeNd4Ho4 crystal from the Alexandria database. Energies are from GGA-PBE.

Computed properties:
SG = No. 139
E_form = 0.045 eV per atom

Lattice parameters (Å, degrees): 5.086 8.040 8.040 84.26 71.56 71.56
Atoms (fractional coordinates):
Nd 0.665 0.000 0.670
Ho 0.335 0.665 0.665
Ho 0.665 0.335 0.335
Ho 0.000 0.665 0.335
Nd 0.335 0.000 0.330
Ho 0.000 0.335 0.665
Nd 0.665 0.670 0.000
Ce 0.000 0.000 0.000
Nd 0.335 0.330 0.000

=====

| no. | DOS(E_F) (states/eV/atom) |
| --- | --- |
| 1 | 0.362 |
| 2 | 0.396 |
| 3 | 1.133 |
| 4 | 0.765 |
| 5 | 1.167 |
| 6 | 1.483 |
| 7 | 0.813 |
| 8 | 0.050 |
| 9 | 0.743 |
| 10 | 0.950 |
| 11 | 0.480 |
| 12 | 1.675 |